# TaHg2Sb, relaxed, DFT GGA-PBEsol
# Energy relative to the elements, uncorrected, eV/atom: 0.1862
data_TaHg2Sb
_chemical_formula_sum 'Ta1 Hg2 Sb1'
_space_group_name_H-M_alt 'P 4 m m'
_space_group_IT_number 99
_cell_length_a 3.617
_cell_length_b 3.617
_cell_length_c 6.303
_cell_angle_alpha 90.00
_cell_angle_beta 90.00
_cell_angle_gamma 90.00
loop_
_space_group_symop_operation_xyz
'x,y,z'
'-y,x,z'
'-x,-y,z'
'y,-x,z'
'-x,y,z'
'y,x,z'
'x,-y,z'
'-y,-x,z'
loop_
_atom_site_label
_atom_site_type_symbol
_atom_site_fract_x
_atom_site_fract_y
_atom_site_fract_z
Ta1 Ta 0.000 0.000 0.000
Hg1 Hg 0.000 0.000 0.505
Hg2 Hg 0.500 0.500 0.267
Sb1 Sb 0.500 0.500 0.798